# 1
SeIBr2O (GGA-PBE, relaxed); E above lowest polymorph = 0.385 eV/atom; energy relative to the elements, uncorrected = 1.06 eV/atom
1.0
5.6663 0.0000 0.0000
0.0000 5.6663 0.0000
0.0000 0.0000 5.4318
I O Se Br
1 1 1 2
Direct
0.0000 0.0000 0.0000 I
0.5000 0.5000 0.5000 O
0.0000 0.0000 0.5000 Se
0.0000 0.5000 0.0000 Br
0.5000 0.0000 0.0000 Br

=====

# 2
MgReTc2 (GGA-PBE, relaxed); formation energy from the elements = 121 kJ/mol of formula units
1.0
-1.8289 0.2191 4.6546
-4.9608 -0.5365 0.4015
3.7000 -2.4803 -2.2840
Mg Re Tc
1 1 2
Direct
0.5000 0.5000 0.0000 Mg
0.7500 0.2500 0.5000 Re
0.0000 0.0000 0.0000 Tc
0.2500 0.7500 0.5000 Tc

=====

# 3
CaMg2Pb8 (GGA-PBE, relaxed); formation energy from the elements = -74 kJ/mol of formula units
1.0
-3.0527 1.3184 3.3551
2.1567 -6.8491 4.6532
5.3111 6.2780 2.3649
Ca Mg Pb
1 2 8
Direct
0.5000 0.0000 0.0000 Ca
0.0000 0.3855 0.6145 Mg
0.0000 0.6145 0.3855 Mg
0.9999 0.9612 0.6752 Pb
0.9999 0.6752 0.9612 Pb
0.4999 0.6601 0.6601 Pb
0.5000 0.7522 0.2478 Pb
0.5000 0.2478 0.7522 Pb
0.5001 0.3399 0.3399 Pb
0.0001 0.3248 0.0388 Pb
0.0001 0.0388 0.3248 Pb